No. 1
This record from Alexandria describes a relaxed structure of Re2Ir. The functional is GGA-PBEsol.

The calculation puts the formation energy at -0.21 eV per atom. The calculation puts the energy above the lowest structure with this stoichiometry at 0 meV per atom.

The structure belongs to space group Cmcm (No. 63); the cell edges are 2.726, 14.368 and 4.379 Å and the angles 90.00°, 90.00° and 90.00°. The distinct sites, in fractional coordinates, are Re at (0.000, 0.054, 0.250), Re at (0.000, 0.278, 0.750) and Ir at (0.000, 0.390, 0.250).

***

No. 2
This record from Alexandria describes a relaxed structure of LiReRh. The functional is GGA-PBEsol.

The calculation puts the formation energy at 0.23 eV per atom.

The structure belongs to space group Fmm2 (No. 42); the cell edges are 2.778, 4.502 and 13.536 Å and the angles 90.00°, 90.00° and 90.00°. The distinct sites, in fractional coordinates, are Li at (0.000, 0.000, 0.000), Re at (0.000, 0.000, 0.675) and Rh at (0.000, 0.000, 0.336).

***

No. 3
This record from Alexandria describes a relaxed structure of Sc2GeBr. The functional is GGA-PBEsol.

The value obtained for the total energy is -5.710 eV/atom.

The structure belongs to space group Fm-3m (No. 225); the cell edges are 6.804, 6.804 and 6.804 Å and the angles 90.00°, 90.00° and 90.00°. The distinct sites, in fractional coordinates, are Sc at (0.250, 0.250, 0.250), Ge at (0.000, 0.000, 0.000) and Br at (0.000, 0.000, 0.500).

***

No. 4
This record from Alexandria describes a relaxed structure of Sc2SiSe. The functional is GGA-PBEsol.

The calculation puts the energy above the lowest structure with this stoichiometry at 260 meV per atom.

The structure belongs to space group Cmmm (No. 65); the cell edges are 4.111, 5.068 and 7.123 Å and the angles 90.00°, 90.00° and 90.00°. The distinct sites, in fractional coordinates, are Sc at (0.000, 0.000, 0.248), Si at (0.000, 0.500, 0.000) and Se at (0.000, 0.500, 0.500).

***

No. 5
This record from Alexandria describes a relaxed structure of Y2AlCu. The functional is GGA-PBEsol.

The calculation puts the formation energy at -0.28 eV per atom.

The structure belongs to space group P4/mmm (No. 123); the cell edges are 4.983, 4.983 and 3.495 Å and the angles 90.00°, 90.00° and 90.00°. The distinct sites, in fractional coordinates, are Y at (0.000, 0.500, 0.000), Al at (0.000, 0.000, 0.500) and Cu at (0.500, 0.500, 0.500).

***

No. 6
This record from Alexandria describes a relaxed structure of LaCuAs2. The functional is GGA-PBEsol.

The calculation puts the formation energy at -0.59 eV per atom.

The structure belongs to space group R-3m (No. 166, hexagonal axes); the cell edges are 4.3285, 4.3285 and 15.0282 Å and the angles 90.00°, 90.00° and 120.00°. The distinct sites, in fractional coordinates, are La at (0.0000, 0.0000, 0.0000), Cu at (0.0000, 0.0000, 0.5000) and As at (0.0000, 0.0000, 0.2139).

***

No. 7
This record from Alexandria describes a relaxed structure of Si2TeAu. The functional is GGA-PBEsol.

The value obtained for the total energy is -4.479 eV/atom.

The structure belongs to space group Cm (No. 8); the cell edges are 11.046, 3.443 and 4.833 Å and the angles 90.00°, 92.41° and 90.00°. The distinct sites, in fractional coordinates, are Si at (0.000, 0.000, 0.000), Si at (0.170, 0.500, 0.030), Te at (0.052, 0.500, 0.520) and Au at (0.331, 0.000, 0.026).

***

No. 8
This record from Alexandria describes a relaxed structure of Re2NiAs. The functional is GGA-PBEsol.

The calculation puts the formation energy at 0.57 eV per atom.

The structure belongs to space group P4/mmm (No. 123); the cell edges are 2.663, 2.663 and 7.925 Å and the angles 90.00°, 90.00° and 90.00°. The distinct sites, in fractional coordinates, are Re at (0.000, 0.000, 0.224), Ni at (0.500, 0.500, 0.000) and As at (0.500, 0.500, 0.500).